No. 1
{"formula": "Ca2ZnAs2H4O10", "functional": "SCAN", "state": "PBEsol geometry", "dft_energy_ev_per_atom": -9.7131, "rho_g_cm3": 3.845, "sg": "P-1", "cell": [[5.5932, 0.0000, 0.0000], [-1.9646, 5.5500, 0.0000], [-0.8906, -2.6406, 6.3913]], "species": ["Ca", "Ca", "Zn", "As", "As", "H", "H", "H", "H", "O", "O", "O", "O", "O", "O", "O", "O", "O", "O"], "fractional_positions": [[0.1508, 0.2879, 0.2659], [0.8492, 0.7121, 0.7341], [0.5000, 0.0000, 0.5000], [0.1751, 0.3378, 0.7468], [0.8249, 0.6622, 0.2532], [0.3432, 0.8711, 0.0988], [0.4192, 0.8380, 0.8074], [0.5808, 0.1620, 0.1926], [0.6568, 0.1289, 0.9012], [0.0957, 0.7633, 0.4575], [0.1442, 0.1610, 0.8986], [0.2176, 0.6547, 0.8827], [0.4235, 0.0443, 0.2260], [0.4319, 0.3495, 0.6316], [0.5681, 0.6505, 0.3684], [0.5765, 0.9557, 0.7740], [0.7824, 0.3453, 0.1173], [0.8558, 0.8390, 0.1014], [0.9043, 0.2367, 0.5425]]}


No. 2
{"formula": "CaHf3As", "functional": "SCAN", "state": "PBEsol geometry", "formation_energy_mev_per_atom": 124, "dft_energy_ev_per_atom": -43.4508, "rho_g_cm3": 8.523, "sg": "Pm-3m", "cell": [[5.0229, 0.0000, 0.0000], [0.0000, 5.0229, 0.0000], [0.0000, 0.0000, 5.0229]], "species": ["Ca", "Hf", "Hf", "Hf", "As"], "fractional_positions": [[0.0000, 0.0000, 0.0000], [0.0000, 0.5000, 0.5000], [0.5000, 0.0000, 0.5000], [0.5000, 0.5000, 0.0000], [0.5000, 0.5000, 0.5000]]}


No. 3
{"formula": "CaHfAs2Se", "functional": "SCAN", "state": "PBEsol geometry", "dft_energy_ev_per_atom": -25.8116, "rho_g_cm3": 5.775, "sg": "P4/mmm", "raw_formation_energy_ev_per_atom": 0.748, "cell": [[5.0252, 0.0000, 0.0000], [0.0000, 5.0252, 0.0000], [0.0000, 0.0000, 5.0940]], "species": ["Ca", "Hf", "As", "As", "Se"], "fractional_positions": [[0.0000, 0.0000, 0.0000], [0.5000, 0.5000, 0.5000], [0.0000, 0.5000, 0.0000], [0.5000, 0.0000, 0.0000], [0.0000, 0.0000, 0.5000]]}


No. 4
{"formula": "CaHfZnAs2", "functional": "SCAN", "state": "PBEsol geometry", "formation_energy_mev_per_atom": 937, "dft_energy_ev_per_atom": -24.3099, "rho_g_cm3": 5.923, "sg": "P4/mmm", "cell": [[5.0575, 0.0000, 0.0000], [0.0000, 5.0575, 0.0000], [0.0000, 0.0000, 4.7553]], "species": ["Ca", "Hf", "Zn", "As", "As"], "fractional_positions": [[0.0000, 0.0000, 0.0000], [0.5000, 0.5000, 0.5000], [0.0000, 0.0000, 0.5000], [0.0000, 0.5000, 0.0000], [0.5000, 0.0000, 0.0000]]}


No. 5
{"formula": "Ca2HgAs", "functional": "SCAN", "state": "PBEsol geometry", "formation_energy_mev_per_atom": -934, "dft_energy_ev_per_atom": -27.8548, "rho_g_cm3": 5.266, "sg": "C2/m", "polymorph_energy_ev_per_atom": 0.0744, "cell": [[3.8198, -2.1925, 0.0000], [3.8198, 2.1925, 0.0000], [-2.5048, 0.0000, 6.6956]], "species": ["Ca", "Ca", "Hg", "As"], "fractional_positions": [[0.2364, 0.2364, 0.2106], [0.7636, 0.7636, 0.7894], [0.0000, 0.0000, 0.5000], [0.5000, 0.5000, 0.0000]]}


No. 6
{"formula": "Ca2HgAs", "functional": "SCAN", "state": "PBEsol geometry", "formation_energy_mev_per_atom": -777, "dft_energy_ev_per_atom": -27.6978, "rho_g_cm3": 5.330, "sg": "P4mm", "polymorph_energy_ev_per_atom": 0.2314, "cell": [[4.3125, 0.0000, 0.0000], [0.0000, 4.3125, 0.0000], [0.0000, 0.0000, 5.9584]], "species": ["Ca", "Ca", "Hg", "As"], "fractional_positions": [[0.0000, 0.0000, 0.0000], [0.5000, 0.5000, 0.4992], [0.5000, 0.5000, 0.9990], [0.0000, 0.0000, 0.5000]]}


No. 7
{"formula": "CaHg2As", "functional": "SCAN", "state": "PBEsol geometry", "formation_energy_mev_per_atom": -486, "dft_energy_ev_per_atom": -42.0322, "rho_g_cm3": 9.604, "sg": "P4/mmm", "cell": [[4.2171, 0.0000, 0.0000], [0.0000, 4.2171, 0.0000], [0.0000, 0.0000, 5.0183]], "species": ["Ca", "Hg", "Hg", "As"], "fractional_positions": [[0.0000, 0.0000, 0.0000], [0.0000, 0.5000, 0.5000], [0.5000, 0.0000, 0.5000], [0.5000, 0.5000, 0.0000]]}


No. 8
{"formula": "Ca2HgAs", "functional": "SCAN", "state": "PBEsol geometry", "formation_energy_mev_per_atom": -952, "dft_energy_ev_per_atom": -27.8725, "rho_g_cm3": 6.114, "sg": "P4/mmm", "polymorph_energy_ev_per_atom": 0.0567, "cell": [[4.9343, 0.0000, 0.0000], [0.0000, 4.9343, 0.0000], [0.0000, 0.0000, 3.9675]], "species": ["Ca", "Ca", "Hg", "As"], "fractional_positions": [[0.0000, 0.5000, 0.0000], [0.5000, 0.0000, 0.0000], [0.0000, 0.0000, 0.5000], [0.5000, 0.5000, 0.5000]]}


No. 9
{"formula": "CaHg3As", "functional": "SCAN", "state": "PBEsol geometry", "formation_energy_mev_per_atom": 10, "dft_energy_ev_per_atom": -46.8602, "rho_g_cm3": 8.404, "sg": "Pm-3m", "cell": [[5.2126, 0.0000, 0.0000], [0.0000, 5.2126, 0.0000], [0.0000, 0.0000, 5.2126]], "species": ["Ca", "Hg", "Hg", "Hg", "As"], "fractional_positions": [[0.0000, 0.0000, 0.0000], [0.0000, 0.5000, 0.5000], [0.5000, 0.0000, 0.5000], [0.5000, 0.5000, 0.0000], [0.5000, 0.5000, 0.5000]]}


No. 10
{"formula": "Ca2HgAs", "functional": "SCAN", "state": "PBEsol geometry", "formation_energy_mev_per_atom": -1008, "dft_energy_ev_per_atom": -27.9292, "rho_g_cm3": 5.809, "sg": "Amm2", "polymorph_energy_ev_per_atom": 0.0000, "cell": [[4.3419, 0.0000, 0.0000], [0.0000, 2.1133, 5.5406], [0.0000, -2.1133, 5.5406]], "species": ["Ca", "Ca", "Hg", "As"], "fractional_positions": [[0.0000, 0.0000, 0.0000], [0.5000, 0.2735, 0.2735], [0.0000, 0.7223, 0.7223], [0.5000, 0.5487, 0.5487]]}


No. 11
{"formula": "CaHgAsSe2", "functional": "SCAN", "state": "PBEsol geometry", "dft_energy_ev_per_atom": -27.7189, "rho_g_cm3": 5.657, "sg": "P4/mmm", "raw_formation_energy_ev_per_atom": -0.084, "cell": [[5.2701, 0.0000, 0.0000], [0.0000, 5.2701, 0.0000], [0.0000, 0.0000, 5.0049]], "species": ["Ca", "Hg", "As", "Se", "Se"], "fractional_positions": [[0.0000, 0.0000, 0.0000], [0.5000, 0.5000, 0.5000], [0.5000, 0.5000, 0.0000], [0.0000, 0.5000, 0.5000], [0.5000, 0.0000, 0.5000]]}


No. 12
{"formula": "Ca3AsI", "functional": "SCAN", "state": "PBEsol geometry", "dft_energy_ev_per_atom": -17.9854, "rho_g_cm3": 3.003, "sg": "Pm-3m", "raw_formation_energy_ev_per_atom": -0.801, "cell": [[5.6262, 0.0000, 0.0000], [0.0000, 5.6262, 0.0000], [0.0000, 0.0000, 5.6262]], "species": ["Ca", "Ca", "Ca", "As", "I"], "fractional_positions": [[0.0000, 0.0000, 0.5000], [0.0000, 0.5000, 0.0000], [0.5000, 0.0000, 0.0000], [0.0000, 0.0000, 0.0000], [0.5000, 0.5000, 0.5000]]}


No. 13
{"formula": "CaAs3I", "functional": "SCAN", "state": "PBEsol geometry", "dft_energy_ev_per_atom": -20.8097, "rho_g_cm3": 4.408, "sg": "Pm-3m", "raw_formation_energy_ev_per_atom": 0.586, "cell": [[5.2846, 0.0000, 0.0000], [0.0000, 5.2846, 0.0000], [0.0000, 0.0000, 5.2846]], "species": ["Ca", "As", "As", "As", "I"], "fractional_positions": [[0.0000, 0.0000, 0.0000], [0.0000, 0.5000, 0.5000], [0.5000, 0.0000, 0.5000], [0.5000, 0.5000, 0.0000], [0.5000, 0.5000, 0.5000]]}


No. 14
{"formula": "Ca3AsI3", "functional": "SCAN", "state": "PBEsol geometry", "dft_energy_ev_per_atom": -24.4582, "rho_g_cm3": 4.121, "sg": "I4_132", "raw_formation_energy_ev_per_atom": -1.686, "cell": [[-6.1448, 6.1448, 6.1448], [6.1448, -6.1448, 6.1448], [6.1448, 6.1448, -6.1448]], "species": ["Ca", "Ca", "Ca", "Ca", "Ca", "Ca", "Ca", "Ca", "Ca", "Ca", "Ca", "Ca", "As", "As", "As", "As", "I", "I", "I", "I", "I", "I", "I", "I", "I", "I", "I", "I"], "fractional_positions": [[0.0143, 0.0287, 0.2643], [0.0143, 0.4857, 0.7500], [0.0287, 0.2643, 0.0143], [0.2357, 0.2643, 0.7500], [0.2357, 0.4713, 0.4857], [0.2643, 0.0143, 0.0287], [0.2643, 0.7500, 0.2357], [0.4713, 0.4857, 0.2357], [0.4857, 0.2357, 0.4713], [0.4857, 0.7500, 0.0143], [0.7500, 0.0143, 0.4857], [0.7500, 0.2357, 0.2643], [0.0000, 0.2500, 0.5000], [0.2500, 0.2500, 0.2500], [0.2500, 0.5000, 0.0000], [0.5000, 0.0000, 0.2500], [0.2500, 0.7546, 0.7454], [0.2500, 0.9954, 0.5046], [0.5046, 0.2500, 0.9954], [0.5046, 0.7546, 0.5093], [0.5093, 0.5046, 0.7546], [0.7454, 0.2500, 0.7546], [0.7454, 0.9954, 0.9907], [0.7546, 0.5093, 0.5046], [0.7546, 0.7454, 0.2500], [0.9907, 0.7454, 0.9954], [0.9954, 0.5046, 0.2500], [0.9954, 0.9907, 0.7454]]}


No. 15
{"formula": "Ca2InAsI", "functional": "SCAN", "state": "PBEsol geometry", "dft_energy_ev_per_atom": -21.7765, "rho_g_cm3": 3.524, "sg": "P4/mmm", "raw_formation_energy_ev_per_atom": 0.153, "cell": [[5.6901, 0.0000, 0.0000], [0.0000, 5.6901, 0.0000], [0.0000, 0.0000, 5.7754]], "species": ["Ca", "Ca", "In", "As", "I"], "fractional_positions": [[0.0000, 0.5000, 0.0000], [0.5000, 0.0000, 0.0000], [0.0000, 0.0000, 0.5000], [0.5000, 0.5000, 0.5000], [0.0000, 0.0000, 0.0000]]}


No. 16
{"formula": "CaInAs", "functional": "SCAN", "state": "PBEsol geometry", "formation_energy_mev_per_atom": -522, "dft_energy_ev_per_atom": -21.6023, "rho_g_cm3": 5.298, "sg": "Fmm2", "cell": [[0.0000, 2.6277, 5.2544], [2.6087, 0.0000, 5.2544], [2.6087, 2.6277, 0.0000]], "species": ["Ca", "In", "As"], "fractional_positions": [[0.0000, 0.0000, 0.0000], [0.2993, 0.2993, 0.7007], [0.6803, 0.6803, 0.3197]]}


No. 17
{"formula": "CaIn2As", "functional": "SCAN", "state": "PBEsol geometry", "formation_energy_mev_per_atom": -443, "dft_energy_ev_per_atom": -24.5993, "rho_g_cm3": 6.028, "sg": "I4/mmm", "cell": [[-2.0970, 2.0970, 5.3971], [2.0970, -2.0970, 5.3971], [2.0970, 2.0970, -5.3971]], "species": ["Ca", "In", "In", "As"], "fractional_positions": [[0.0000, 0.0000, 0.0000], [0.2500, 0.7500, 0.5000], [0.7500, 0.2500, 0.5000], [0.5000, 0.5000, 0.0000]]}


No. 18
{"formula": "CaIn2As", "functional": "SCAN", "state": "PBEsol geometry", "formation_energy_mev_per_atom": -549, "dft_energy_ev_per_atom": -24.7054, "rho_g_cm3": 5.664, "sg": "Amm2", "cell": [[3.9412, 0.0000, 0.0000], [0.0000, 2.1507, 5.9600], [0.0000, -2.1507, 5.9600]], "species": ["Ca", "In", "In", "As"], "fractional_positions": [[0.0000, 0.0000, 0.0000], [0.0000, 0.7246, 0.7246], [0.5000, 0.3113, 0.3113], [0.5000, 0.5475, 0.5475]]}


No. 19
{"formula": "Ca2InAsRu", "functional": "SCAN", "state": "PBEsol geometry", "formation_energy_mev_per_atom": 527, "dft_energy_ev_per_atom": -21.0193, "rho_g_cm3": 4.164, "sg": "P4/mmm", "cell": [[5.5529, 0.0000, 0.0000], [0.0000, 5.5529, 0.0000], [0.0000, 0.0000, 4.7975]], "species": ["Ca", "Ca", "In", "As", "Ru"], "fractional_positions": [[0.0000, 0.5000, 0.0000], [0.5000, 0.0000, 0.0000], [0.0000, 0.0000, 0.0000], [0.5000, 0.5000, 0.5000], [0.0000, 0.0000, 0.5000]]}


No. 20
{"formula": "CaAs3Ir", "functional": "SCAN", "state": "PBEsol geometry", "formation_energy_mev_per_atom": 1807, "dft_energy_ev_per_atom": -26.4603, "rho_g_cm3": 6.077, "sg": "Pm-3m", "polymorph_energy_ev_per_atom": 1.7580, "cell": [[4.9985, 0.0000, 0.0000], [0.0000, 4.9985, 0.0000], [0.0000, 0.0000, 4.9985]], "species": ["Ca", "As", "As", "As", "Ir"], "fractional_positions": [[0.0000, 0.0000, 0.0000], [0.0000, 0.0000, 0.5000], [0.0000, 0.5000, 0.0000], [0.5000, 0.0000, 0.0000], [0.5000, 0.5000, 0.5000]]}


No. 21
{"formula": "Ca2AsIr", "functional": "SCAN", "state": "PBEsol geometry", "formation_energy_mev_per_atom": -204, "dft_energy_ev_per_atom": -27.8577, "rho_g_cm3": 6.729, "sg": "I-42d", "cell": [[-3.9007, 3.9007, 2.8163], [3.9007, -3.9007, 2.8163], [3.9007, 3.9007, -2.8163]], "species": ["Ca", "Ca", "Ca", "Ca", "As", "As", "Ir", "Ir"], "fractional_positions": [[0.0986, 0.6250, 0.9736], [0.3750, 0.3486, 0.4736], [0.6514, 0.1250, 0.0264], [0.8750, 0.9014, 0.5264], [0.2500, 0.7500, 0.5000], [0.5000, 0.5000, 0.0000], [0.0000, 0.0000, 0.0000], [0.7500, 0.2500, 0.5000]]}


No. 22
{"formula": "Ca2AsIr", "functional": "SCAN", "state": "PBEsol geometry", "formation_energy_mev_per_atom": -547, "dft_energy_ev_per_atom": -28.2009, "rho_g_cm3": 7.224, "sg": "Cmmm", "cell": [[3.0955, -3.9373, 0.0000], [3.0955, 3.9373, 0.0000], [0.0000, 0.0000, 3.2749]], "species": ["Ca", "Ca", "As", "Ir"], "fractional_positions": [[0.0000, 0.5000, 0.0000], [0.5000, 0.0000, 0.0000], [0.0000, 0.0000, 0.5000], [0.5000, 0.5000, 0.5000]]}


No. 23
{"formula": "CaAsIr2", "functional": "SCAN", "state": "PBEsol geometry", "formation_energy_mev_per_atom": -230, "dft_energy_ev_per_atom": -43.2434, "rho_g_cm3": 12.126, "sg": "Pm", "cell": [[2.8657, 0.0000, 0.0000], [0.0000, 4.2624, 0.0000], [-1.4218, 0.0000, 5.5991]], "species": ["Ca", "As", "Ir", "Ir"], "fractional_positions": [[0.0000, 0.0000, 0.0000], [0.3597, 0.5000, 0.7203], [0.2514, 0.0000, 0.4950], [0.6674, 0.5000, 0.3271]]}


No. 24
{"formula": "CaAsIr2", "functional": "SCAN", "state": "PBEsol geometry", "formation_energy_mev_per_atom": -104, "dft_energy_ev_per_atom": -43.1172, "rho_g_cm3": 12.066, "sg": "P4mm", "cell": [[3.0458, 0.0000, 0.0000], [0.0000, 3.0458, 0.0000], [0.0000, 0.0000, 7.4087]], "species": ["Ca", "As", "Ir", "Ir"], "fractional_positions": [[0.0000, 0.0000, 0.0000], [0.5000, 0.5000, 0.6839], [0.0000, 0.0000, 0.5053], [0.5000, 0.5000, 0.2691]]}


No. 25
{"formula": "CaAs3Ir", "functional": "SCAN", "state": "PBEsol geometry", "formation_energy_mev_per_atom": 49, "dft_energy_ev_per_atom": -28.2182, "rho_g_cm3": 6.544, "sg": "Pm-3m", "polymorph_energy_ev_per_atom": 0.0000, "cell": [[4.8767, 0.0000, 0.0000], [0.0000, 4.8767, 0.0000], [0.0000, 0.0000, 4.8767]], "species": ["Ca", "As", "As", "As", "Ir"], "fractional_positions": [[0.0000, 0.0000, 0.0000], [0.0000, 0.5000, 0.5000], [0.5000, 0.0000, 0.5000], [0.5000, 0.5000, 0.0000], [0.5000, 0.5000, 0.5000]]}


No. 26
{"formula": "Ca2AsIr", "functional": "SCAN", "state": "PBEsol geometry", "formation_energy_mev_per_atom": -542, "dft_energy_ev_per_atom": -28.1965, "rho_g_cm3": 7.224, "sg": "I4/mmm", "cell": [[-2.2529, 2.2529, 3.9320], [2.2529, -2.2529, 3.9320], [2.2529, 2.2529, -3.9320]], "species": ["Ca", "Ca", "As", "Ir"], "fractional_positions": [[0.2500, 0.7500, 0.5000], [0.7500, 0.2500, 0.5000], [0.0000, 0.0000, 0.0000], [0.5000, 0.5000, 0.0000]]}


No. 27
{"formula": "CaAsIr2", "functional": "SCAN", "state": "PBEsol geometry", "formation_energy_mev_per_atom": -96, "dft_energy_ev_per_atom": -43.1086, "rho_g_cm3": 12.471, "sg": "P2/m", "cell": [[2.8708, 0.0000, 0.0000], [0.0000, 4.4092, 0.0000], [-0.9921, 0.0000, 5.2538]], "species": ["Ca", "As", "Ir", "Ir"], "fractional_positions": [[0.0000, 0.0000, 0.0000], [0.5000, 0.0000, 0.5000], [0.3575, 0.5000, 0.7226], [0.6425, 0.5000, 0.2774]]}